Entry from Alexandria via LeMat-Bulk: a crystal of Ba2MoAu relaxed with PBEsol (meta-GGA SCAN).

* energy above the lowest structure with this stoichiometry: 0 meV per atom
* density: 8.65 Mg/m³
* formation energy: 0.54 eV per atom

Structure (CIF):
```
data_Ba2MoAu
_cell_length_a 7.581
_cell_length_b 7.581
_cell_length_c 7.581
_cell_angle_alpha 90.00
_cell_angle_beta 90.00
_cell_angle_gamma 90.00
_space_group_name_H-M_alt 'F -4 3 m'
_space_group_IT_number 216
_space_group_name_Hall 'F -4 2 3'
loop_
_atom_site_label
_atom_site_fract_x
_atom_site_fract_y
_atom_site_fract_z
Ba1 0.000 0.000 0.000
Ba2 0.250 0.250 0.250
Mo1 0.250 0.250 0.750
Au1 0.000 0.000 0.500
```



Entry from Alexandria via LeMat-Bulk: a crystal of RbSb2C2O4F5 relaxed with PBEsol (meta-GGA SCAN).

* density: 3.95 Mg/m³
* formation energy from raw total energies: -1.95 eV/atom

Structure (CIF):
```
data_RbSb2C2O4F5
_cell_length_a 5.891
_cell_length_b 6.366
_cell_length_c 22.939
_cell_angle_alpha 90.00
_cell_angle_beta 90.00
_cell_angle_gamma 90.00
_space_group_name_H-M_alt 'P 21 21 21'
_space_group_IT_number 19
_space_group_name_Hall 'P 2ac 2ab'
loop_
_atom_site_label
_atom_site_fract_x
_atom_site_fract_y
_atom_site_fract_z
Rb1 0.011 0.006 0.497
Sb1 0.021 0.997 0.115
Sb2 0.036 0.042 0.860
C1 0.172 0.931 0.737
C2 0.178 0.883 0.255
O1 0.043 0.854 0.776
O2 0.046 0.801 0.220
O3 0.182 0.867 0.685
O4 0.203 0.825 0.309
F1 0.048 0.435 0.470
F2 0.201 0.238 0.917
F3 0.208 0.223 0.077
F4 0.227 0.204 0.599
F5 0.233 0.165 0.389
```



Entry from Alexandria via LeMat-Bulk: a crystal of MgZn2In relaxed with PBEsol (meta-GGA SCAN).

* density: 6.06 Mg/m³
* formation energy: 0.00 eV per atom

Structure (CIF):
```
data_MgZn2In
_cell_length_a 3.068
_cell_length_b 3.068
_cell_length_c 7.859
_cell_angle_alpha 90.00
_cell_angle_beta 90.00
_cell_angle_gamma 90.00
_space_group_name_H-M_alt 'P 4 m m'
_space_group_IT_number 99
_space_group_name_Hall 'P 4 -2'
loop_
_atom_site_label
_atom_site_fract_x
_atom_site_fract_y
_atom_site_fract_z
Mg1 0.000 0.000 0.000
Zn1 0.000 0.000 0.430
Zn2 0.500 0.500 0.236
In1 0.500 0.500 0.699
```



Entry from Alexandria via LeMat-Bulk: a crystal of YCdIn relaxed with PBEsol (meta-GGA SCAN).

* density: 7.29 Mg/m³
* formation energy: -0.62 eV per atom

Structure (CIF):
```
data_YCdIn
_cell_length_a 4.7708
_cell_length_b 4.7708
_cell_length_c 7.3081
_cell_angle_alpha 90.00
_cell_angle_beta 90.00
_cell_angle_gamma 120.00
_space_group_name_H-M_alt 'P -6 m 2'
_space_group_IT_number 187
_space_group_name_Hall 'P -6 2'
loop_
_atom_site_label
_atom_site_fract_x
_atom_site_fract_y
_atom_site_fract_z
Y1 0.0000 0.0000 0.0000
Y2 0.0000 0.0000 0.5000
Cd1 0.3333 0.6667 0.2052
In1 0.6667 0.3333 0.2855
```



Entry from Alexandria via LeMat-Bulk: a crystal of RbSiPCl2 relaxed with PBEsol (meta-GGA SCAN).

* density: 3.02 Mg/m³
* formation energy from raw total energies: -0.58 eV/atom

Structure (CIF):
```
data_RbSiPCl2
_cell_length_a 5.108
_cell_length_b 5.108
_cell_length_c 4.534
_cell_angle_alpha 90.00
_cell_angle_beta 90.00
_cell_angle_gamma 90.00
_space_group_name_H-M_alt 'P 4/m m m'
_space_group_IT_number 123
_space_group_name_Hall '-P 4 2'
loop_
_atom_site_label
_atom_site_fract_x
_atom_site_fract_y
_atom_site_fract_z
Rb1 0.000 0.000 0.000
Si1 0.500 0.500 0.500
P1 0.500 0.500 0.000
Cl1 0.000 0.500 0.500
```



Entry from Alexandria via LeMat-Bulk: a crystal of Cu2Pt relaxed with PBEsol (meta-GGA SCAN).

* energy above the lowest structure with this stoichiometry: 105 meV per atom
* density: 14.40 Mg/m³
* formation energy: -0.06 eV per atom

Structure (CIF):
```
data_Cu2Pt
_cell_length_a 4.7216
_cell_length_b 4.7216
_cell_length_c 7.6986
_cell_angle_alpha 90.00
_cell_angle_beta 90.00
_cell_angle_gamma 120.00
_space_group_name_H-M_alt 'P 63/m m c'
_space_group_IT_number 194
_space_group_name_Hall '-P 6c 2c'
loop_
_atom_site_label
_atom_site_fract_x
_atom_site_fract_y
_atom_site_fract_z
Cu1 0.0000 0.0000 0.0000
Cu2 0.1699 0.3398 0.2500
Pt1 0.3333 0.6667 0.5621
```



Entry from Alexandria via LeMat-Bulk: a crystal of HgIrW2 relaxed with PBEsol (meta-GGA SCAN).

* density: 19.85 Mg/m³
* formation energy: 0.54 eV per atom

Structure (CIF):
```
data_HgIrW2
_cell_length_a 3.843
_cell_length_b 3.843
_cell_length_c 8.616
_cell_angle_alpha 90.00
_cell_angle_beta 90.00
_cell_angle_gamma 90.00
_space_group_name_H-M_alt 'I 4/m m m'
_space_group_IT_number 139
_space_group_name_Hall '-I 4 2'
loop_
_atom_site_label
_atom_site_fract_x
_atom_site_fract_y
_atom_site_fract_z
Hg1 0.000 0.000 0.000
Ir1 0.000 0.000 0.500
W1 0.000 0.500 0.250
```



Entry from Alexandria via LeMat-Bulk: a crystal of PtSNF2 relaxed with PBEsol (meta-GGA SCAN).

* density: 7.24 Mg/m³
* formation energy from raw total energies: 0.74 eV/atom

Structure (CIF):
```
data_PtSNF2
_cell_length_a 4.474
_cell_length_b 4.474
_cell_length_c 3.198
_cell_angle_alpha 90.00
_cell_angle_beta 90.00
_cell_angle_gamma 90.00
_space_group_name_H-M_alt 'P 4/m m m'
_space_group_IT_number 123
_space_group_name_Hall '-P 4 2'
loop_
_atom_site_label
_atom_site_fract_x
_atom_site_fract_y
_atom_site_fract_z
Pt1 0.000 0.000 0.000
S1 0.500 0.500 0.500
N1 0.500 0.500 0.000
F1 0.000 0.500 0.500
```



Entry from Alexandria via LeMat-Bulk: a crystal of K2CoRu relaxed with PBEsol (meta-GGA SCAN).

* density: 3.94 Mg/m³
* formation energy: 0.75 eV per atom

Structure (CIF):
```
data_K2CoRu
_cell_length_a 2.747
_cell_length_b 3.679
_cell_length_c 9.933
_cell_angle_alpha 90.00
_cell_angle_beta 90.00
_cell_angle_gamma 90.00
_space_group_name_H-M_alt 'P m m 2'
_space_group_IT_number 25
_space_group_name_Hall 'P 2 -2'
loop_
_atom_site_label
_atom_site_fract_x
_atom_site_fract_y
_atom_site_fract_z
K1 0.000 0.000 0.000
K2 0.500 0.500 0.434
Co1 0.000 0.000 0.677
Ru1 0.500 0.500 0.750
```



Entry from Alexandria via LeMat-Bulk: a crystal of Na2BeSiO4 relaxed with PBEsol (meta-GGA SCAN).

* energy above the lowest structure with this stoichiometry: 7 meV per atom
* density: 2.90 Mg/m³
* formation energy from raw total energies: -2.70 eV/atom

Structure (CIF):
```
data_Na2BeSiO4
_cell_length_a 9.873
_cell_length_b 4.918
_cell_length_c 13.871
_cell_angle_alpha 90.00
_cell_angle_beta 90.00
_cell_angle_gamma 90.00
_space_group_name_H-M_alt 'P c a 21'
_space_group_IT_number 29
_space_group_name_Hall 'P 2c -2ac'
loop_
_atom_site_label
_atom_site_fract_x
_atom_site_fract_y
_atom_site_fract_z
Na1 0.004 0.022 0.000
Na2 0.012 0.507 0.384
Na3 0.228 0.531 0.759
Na4 0.232 0.034 0.627
Be1 0.014 0.026 0.253
Be2 0.231 0.509 0.508
Si1 0.017 0.525 0.133
Si2 0.234 0.012 0.878
O1 0.012 0.799 0.653
O2 0.014 0.300 0.731
O3 0.086 0.378 0.545
O4 0.093 0.878 0.837
O5 0.169 0.100 0.287
O6 0.175 0.588 0.102
O7 0.191 0.277 0.943
O8 0.191 0.778 0.443
```



Entry from Alexandria via LeMat-Bulk: a crystal of CdSeBr3 relaxed with PBEsol (meta-GGA SCAN).

* density: 4.92 Mg/m³
* formation energy from raw total energies: 0.03 eV/atom

Structure (CIF):
```
data_CdSeBr3
_cell_length_a 5.261
_cell_length_b 5.261
_cell_length_c 5.261
_cell_angle_alpha 90.00
_cell_angle_beta 90.00
_cell_angle_gamma 90.00
_space_group_name_H-M_alt 'P m -3 m'
_space_group_IT_number 221
_space_group_name_Hall '-P 4 2 3'
loop_
_atom_site_label
_atom_site_fract_x
_atom_site_fract_y
_atom_site_fract_z
Cd1 0.000 0.000 0.000
Se1 0.500 0.500 0.500
Br1 0.000 0.500 0.500
```



Entry from Alexandria via LeMat-Bulk: a crystal of Na2Cr2Os relaxed with PBEsol (meta-GGA SCAN).

* density: 6.29 Mg/m³
* formation energy: 1.27 eV per atom

Structure (CIF):
```
data_Na2Cr2Os
_cell_length_a 2.931
_cell_length_b 2.931
_cell_length_c 20.891
_cell_angle_alpha 90.00
_cell_angle_beta 90.00
_cell_angle_gamma 90.00
_space_group_name_H-M_alt 'I 4/m m m'
_space_group_IT_number 139
_space_group_name_Hall '-I 4 2'
loop_
_atom_site_label
_atom_site_fract_x
_atom_site_fract_y
_atom_site_fract_z
Na1 0.000 0.000 0.110
Cr1 0.000 0.500 0.250
Os1 0.000 0.000 0.500
```